# Na2PaMoN4

Na2PaMoN4 after structural relaxation (PBE-GGA, Alexandria).

```
data_Na2PaMoN4
_chemical_formula_sum 'Na4 Pa2 Mo2 N8'
_space_group_name_H-M_alt 'I -4'
_space_group_IT_number 82
_cell_length_a 5.4435
_cell_length_b 5.4435
_cell_length_c 9.4550
_cell_angle_alpha 90.00
_cell_angle_beta 90.00
_cell_angle_gamma 90.00
loop_
_space_group_symop_operation_xyz
'x,y,z'
'y,-x,-z'
'-x,-y,z'
'-y,x,-z'
'x+1/2,y+1/2,z+1/2'
'y+1/2,-x+1/2,-z+1/2'
'-x+1/2,-y+1/2,z+1/2'
'-y+1/2,x+1/2,-z+1/2'
loop_
_atom_site_label
_atom_site_fract_x
_atom_site_fract_y
_atom_site_fract_z
Na1 0.0000 0.0000 0.0000
Na2 0.0000 0.5000 0.2500
Pa1 0.0000 0.0000 0.5000
Mo1 0.0000 0.5000 0.7500
N1 0.1747 0.2741 0.6364
```

## Properties
Crystal system ... tetragonal
Uncorrected formation energy ... -0.638 eV per atom
Mass density ... 5085 kg/m3


# CaP2Cl

CaP2Cl after structural relaxation (PBE-GGA, Alexandria).

```
data_CaP2Cl
_chemical_formula_sum 'Ca4 P8 Cl4'
_space_group_name_H-M_alt 'F m -3 m'
_space_group_IT_number 225
_space_group_name_Hall '-F 4 2 3'
_cell_length_a 6.9837
_cell_length_b 6.9837
_cell_length_c 6.9837
_cell_angle_alpha 90.00
_cell_angle_beta 90.00
_cell_angle_gamma 90.00
loop_
_atom_site_label
_atom_site_fract_x
_atom_site_fract_y
_atom_site_fract_z
Ca1 0.0000 0.0000 0.0000
P1 0.2500 0.2500 0.2500
Cl1 0.0000 0.0000 0.5000
```

## Properties
Crystal system ... cubic
Uncorrected formation energy ... 0.292 eV per atom
Mass density ... 2681 kg/m3


# Dy2PuP

Dy2PuP after structural relaxation (PBE-GGA, Alexandria).

```
data_Dy2PuP
_chemical_formula_sum 'Dy6 Pu3 P3'
_space_group_name_H-M_alt 'R -3 m'
_space_group_IT_number 166
_space_group_name_Hall '-R 3 2"'
_cell_length_a 3.6938
_cell_length_b 3.6938
_cell_length_c 30.3350
_cell_angle_alpha 90.00
_cell_angle_beta 90.00
_cell_angle_gamma 120.00
loop_
_atom_site_label
_atom_site_fract_x
_atom_site_fract_y
_atom_site_fract_z
Dy1 0.0000 0.0000 0.1120
Pu1 0.0000 0.0000 0.0000
P1 0.0000 0.0000 0.5000
```

## Properties
Crystal system ... trigonal
Energy relative to the elements ... -0.394 eV per atom
Mass density ... 8339 kg/m3


# HoThMgMo

HoThMgMo after structural relaxation (PBE-GGA, Alexandria).

```
data_HoThMgMo
_chemical_formula_sum 'Ho4 Th4 Mg4 Mo4'
_space_group_name_H-M_alt 'F -4 3 m'
_space_group_IT_number 216
_space_group_name_Hall 'F -4 2 3'
_cell_length_a 7.2839
_cell_length_b 7.2839
_cell_length_c 7.2839
_cell_angle_alpha 90.00
_cell_angle_beta 90.00
_cell_angle_gamma 90.00
loop_
_atom_site_label
_atom_site_fract_x
_atom_site_fract_y
_atom_site_fract_z
Ho1 0.0000 0.0000 0.0000
Th1 0.0000 0.0000 0.5000
Mg1 0.2500 0.2500 0.7500
Mo1 0.2500 0.2500 0.2500
```

## Properties
Crystal system ... cubic
Energy relative to the elements ... 0.176 eV per atom
Mass density ... 8890 kg/m3


# SmErLuZn

SmErLuZn after structural relaxation (PBE-GGA, Alexandria).

```
data_SmErLuZn
_chemical_formula_sum 'Sm4 Er4 Lu4 Zn4'
_space_group_name_H-M_alt 'F -4 3 m'
_space_group_IT_number 216
_space_group_name_Hall 'F -4 2 3'
_cell_length_a 7.5139
_cell_length_b 7.5139
_cell_length_c 7.5139
_cell_angle_alpha 90.00
_cell_angle_beta 90.00
_cell_angle_gamma 90.00
loop_
_atom_site_label
_atom_site_fract_x
_atom_site_fract_y
_atom_site_fract_z
Sm1 0.0000 0.0000 0.0000
Er1 0.0000 0.0000 0.5000
Lu1 0.2500 0.2500 0.7500
Zn1 0.2500 0.2500 0.2500
```

## Properties
Crystal system ... cubic
Energy relative to the elements ... 0.022 eV per atom
Mass density ... 8737 kg/m3


# TbZrHg

TbZrHg after structural relaxation (PBE-GGA, Alexandria).

```
data_TbZrHg
_chemical_formula_sum 'Tb2 Zr2 Hg2'
_space_group_name_H-M_alt 'I 4 m m'
_space_group_IT_number 107
_space_group_name_Hall 'I 4 -2'
_cell_length_a 3.4439
_cell_length_b 3.4439
_cell_length_c 12.6900
_cell_angle_alpha 90.00
_cell_angle_beta 90.00
_cell_angle_gamma 90.00
loop_
_atom_site_label
_atom_site_fract_x
_atom_site_fract_y
_atom_site_fract_z
Tb1 0.0000 0.0000 0.0000
Zr1 0.0000 0.0000 0.3228
Hg1 0.0000 0.0000 0.6734
```

## Properties
Crystal system ... tetragonal
Energy relative to the elements ... -0.197 eV per atom
Mass density ... 9946 kg/m3


# KTlCr3

KTlCr3 after structural relaxation (PBE-GGA, Alexandria).

```
data_KTlCr3
_chemical_formula_sum 'K1 Tl1 Cr3'
_space_group_name_H-M_alt 'P m -3 m'
_space_group_IT_number 221
_space_group_name_Hall '-P 4 2 3'
_cell_length_a 5.6502
_cell_length_b 5.6502
_cell_length_c 5.6502
_cell_angle_alpha 90.00
_cell_angle_beta 90.00
_cell_angle_gamma 90.00
loop_
_atom_site_label
_atom_site_fract_x
_atom_site_fract_y
_atom_site_fract_z
K1 0.0000 0.0000 0.0000
Tl1 0.5000 0.5000 0.5000
Cr1 0.0000 0.0000 0.5000
```

## Properties
Crystal system ... cubic
Energy relative to the elements ... 2.098 eV per atom
Mass density ... 3677 kg/m3


# SiTeBr2

SiTeBr2 after structural relaxation (PBE-GGA, Alexandria).

```
data_SiTeBr2
_chemical_formula_sum 'Si2 Te2 Br4'
_space_group_name_H-M_alt 'C m m 2'
_space_group_IT_number 35
_cell_length_a 3.7208
_cell_length_b 8.8222
_cell_length_c 8.8079
_cell_angle_alpha 90.00
_cell_angle_beta 90.00
_cell_angle_gamma 90.00
loop_
_space_group_symop_operation_xyz
'x,y,z'
'-x,-y,z'
'-x,y,z'
'x,-y,z'
'x+1/2,y+1/2,z'
'-x+1/2,-y+1/2,z'
'-x+1/2,y+1/2,z'
'x+1/2,-y+1/2,z'
loop_
_atom_site_label
_atom_site_fract_x
_atom_site_fract_y
_atom_site_fract_z
Si1 0.0000 0.0000 0.0000
Te1 0.0000 0.5000 0.2024
Br1 0.0000 0.0000 0.4755
Br2 0.0000 0.5000 0.7815
```

## Properties
Crystal system ... orthorhombic
Uncorrected formation energy ... 0.199 eV per atom
Mass density ... 3624 kg/m3